VASP calculation (PBE) on a relaxed structure of OsPd2AuCl.

The structure in CIF format:
```
data_OsPd2AuCl
_chemical_formula_sum 'Os1 Pd2 Au1 Cl1'
_cell_length_a 5.057
_cell_length_b 5.057
_cell_length_c 4.985
_cell_angle_alpha 90.00
_cell_angle_beta 90.00
_cell_angle_gamma 90.00
_space_group_name_H-M_alt 'P 4/m m m'
_space_group_IT_number 123
_space_group_name_Hall '-P 4 2'
loop_
_atom_site_label
_atom_site_fract_x
_atom_site_fract_y
_atom_site_fract_z
Os1 0.000 0.000 0.000
Pd1 0.000 0.500 0.500
Au1 0.000 0.000 0.500
Cl1 0.500 0.500 0.000
```

Properties
Magnetic moment: 3.5 μB/cell
Raw formation energy: 1.6358 eV per atom